Density functional theory data (GGA-PBEsol) for an optimized crystal structure of Mg4AlW.

The energy relative to the elements is 710 meV per atom.

It has space group F-43m (No. 216), with a = 7.6607 Å, b = 7.6607 Å, c = 7.6607 Å, α = 90.00°, β = 90.00° and γ = 90.00°. The inequivalent atoms are Mg at (0.1243, 0.1243, 0.3757), Al at (0.0000, 0.0000, 0.0000) and W at (0.2500, 0.2500, 0.7500).